# MgZrInNi (PBE, optimized geometry)
data_MgZrInNi
_cell_length_a 6.596
_cell_length_b 6.596
_cell_length_c 6.596
_cell_angle_alpha 90.00
_cell_angle_beta 90.00
_cell_angle_gamma 90.00
_symmetry_space_group_name_H-M 'F -4 3 m'
_symmetry_Int_Tables_number 216
_symmetry_space_group_name_Hall 'F -4 2 3'
loop_
_atom_site_label
_atom_site_type_symbol
_atom_site_fract_x
_atom_site_fract_y
_atom_site_fract_z
_atom_site_occupancy
Mg1 Mg 0.000 0.000 0.000 1
Zr1 Zr 0.250 0.250 0.250 1
In1 In 0.250 0.250 0.750 1
Ni1 Ni 0.000 0.000 0.500 1
# Theoretical density ... 6.69 g/cm³
# Spin magnetization ... 0.0 μB per cell
# ΔH_f (0 K) ... -0.15 eV/atom
# V ... 17.94 Å³ per atom
# Density of states at the Fermi level ... 10.34 states/eV/cell
# Uncorrected energy ... -19.3 eV per formula unit

# MgNpIn2 (PBE, optimized geometry)
data_MgNpIn2
_cell_length_a 4.826
_cell_length_b 4.826
_cell_length_c 4.301
_cell_angle_alpha 90.00
_cell_angle_beta 90.00
_cell_angle_gamma 90.00
_symmetry_space_group_name_H-M 'P 4/m m m'
_symmetry_Int_Tables_number 123
_symmetry_space_group_name_Hall '-P 4 2'
loop_
_atom_site_label
_atom_site_type_symbol
_atom_site_fract_x
_atom_site_fract_y
_atom_site_fract_z
_atom_site_occupancy
Mg1 Mg 0.000 0.000 0.000 1
Np1 Np 0.500 0.500 0.000 1
In1 In 0.000 0.500 0.500 1
# Theoretical density ... 8.14 g/cm³
# Spin magnetization ... 4.5 μB per cell
# ΔH_f (0 K) ... 0.07 eV/atom
# V ... 25.04 Å³ per atom
# Density of states at the Fermi level ... 8.86 states/eV/cell
# Uncorrected energy ... -19.7 eV per formula unit

# MgNp2In8 (PBE, optimized geometry)
data_MgNp2In8
_cell_length_a 4.814
_cell_length_b 4.814
_cell_length_c 12.133
_cell_angle_alpha 90.00
_cell_angle_beta 90.00
_cell_angle_gamma 90.00
_symmetry_space_group_name_H-M 'P 4/m m m'
_symmetry_Int_Tables_number 123
_symmetry_space_group_name_Hall '-P 4 2'
loop_
_atom_site_label
_atom_site_type_symbol
_atom_site_fract_x
_atom_site_fract_y
_atom_site_fract_z
_atom_site_occupancy
Mg1 Mg 0.000 0.000 0.000 1
Np1 Np 0.000 0.000 0.315 1
In1 In 0.000 0.500 0.137 1
In2 In 0.000 0.500 0.500 1
In3 In 0.500 0.500 0.315 1
# Theoretical density ... 8.37 g/cm³
# Spin magnetization ... 8.8 μB per cell
# ΔH_f (0 K) ... 0.01 eV/atom
# V ... 25.56 Å³ per atom
# Density of states at the Fermi level ... 23.72 states/eV/cell
# Uncorrected energy ... -49.3 eV per formula unit

# MgNpIn2 (PBE, optimized geometry)
data_MgNpIn2
_cell_length_a 3.1733
_cell_length_b 3.1733
_cell_length_c 32.0173
_cell_angle_alpha 90.00
_cell_angle_beta 90.00
_cell_angle_gamma 120.00
_symmetry_space_group_name_H-M 'R -3 m'
_symmetry_Int_Tables_number 166
_symmetry_space_group_name_Hall '-R 3 2"'
loop_
_atom_site_label
_atom_site_type_symbol
_atom_site_fract_x
_atom_site_fract_y
_atom_site_fract_z
_atom_site_occupancy
Mg1 Mg 0.0000 0.0000 0.0000 1
Np1 Np 0.0000 0.0000 0.5000 1
In1 In 0.0000 0.0000 0.2545 1
# Theoretical density ... 8.76 g/cm³
# Spin magnetization ... 11.2 μB per cell
# ΔH_f (0 K) ... 0.08 eV/atom
# V ... 23.27 Å³ per atom
# Density of states at the Fermi level ... 13.81 states/eV/cell
# Uncorrected energy ... -19.7 eV per formula unit

# Mg3NpIn4 (PBE, optimized geometry)
data_Mg3NpIn4
_cell_length_a 10.046
_cell_length_b 7.622
_cell_length_c 5.022
_cell_angle_alpha 90.00
_cell_angle_beta 90.00
_cell_angle_gamma 90.00
_symmetry_space_group_name_H-M 'P m m a'
_symmetry_Int_Tables_number 51
loop_
_symmetry_equiv_pos_as_xyz
'x,y,z'
'-x,-y,-z'
'-x+1/2,-y,z'
'x+1/2,y,-z'
'x+1/2,-y,-z'
'-x+1/2,y,z'
'-x,y,-z'
'x,-y,z'
loop_
_atom_site_label
_atom_site_type_symbol
_atom_site_fract_x
_atom_site_fract_y
_atom_site_fract_z
_atom_site_occupancy
Mg1 Mg 0.000 0.000 0.000 1
Mg2 Mg 0.250 0.000 0.499 1
Mg3 Mg 0.250 0.500 0.499 1
Np1 Np 0.000 0.500 0.000 1
In1 In 0.000 0.236 0.500 1
In2 In 0.250 0.236 0.999 1
# Theoretical density ... 6.64 g/cm³
# Spin magnetization ... 9.1 μB per cell
# ΔH_f (0 K) ... -0.01 eV/atom
# V ... 24.04 Å³ per atom
# Density of states at the Fermi level ... 25.05 states/eV/cell
# Uncorrected energy ... -28.8 eV per formula unit

# MgNpIn5 (PBE, optimized geometry)
data_MgNpIn5
_cell_length_a 4.956
_cell_length_b 4.956
_cell_length_c 7.401
_cell_angle_alpha 90.00
_cell_angle_beta 90.00
_cell_angle_gamma 90.00
_symmetry_space_group_name_H-M 'P 4/m m m'
_symmetry_Int_Tables_number 123
_symmetry_space_group_name_Hall '-P 4 2'
loop_
_atom_site_label
_atom_site_type_symbol
_atom_site_fract_x
_atom_site_fract_y
_atom_site_fract_z
_atom_site_occupancy
Mg1 Mg 0.000 0.000 0.000 1
Np1 Np 0.000 0.000 0.500 1
In1 In 0.000 0.500 0.217 1
In2 In 0.500 0.500 0.500 1
# Theoretical density ... 7.63 g/cm³
# Spin magnetization ... 4.4 μB per cell
# ΔH_f (0 K) ... 0.00 eV/atom
# V ... 25.97 Å³ per atom
# Density of states at the Fermi level ... 11.87 states/eV/cell
# Uncorrected energy ... -28.2 eV per formula unit

# MgNpIn2 (PBE, optimized geometry)
data_MgNpIn2
_cell_length_a 3.147
_cell_length_b 3.147
_cell_length_c 9.569
_cell_angle_alpha 90.00
_cell_angle_beta 90.00
_cell_angle_gamma 90.00
_symmetry_space_group_name_H-M 'P 4/m m m'
_symmetry_Int_Tables_number 123
_symmetry_space_group_name_Hall '-P 4 2'
loop_
_atom_site_label
_atom_site_type_symbol
_atom_site_fract_x
_atom_site_fract_y
_atom_site_fract_z
_atom_site_occupancy
Mg1 Mg 0.000 0.000 0.000 1
Np1 Np 0.000 0.000 0.500 1
In1 In 0.500 0.500 0.236 1
# Theoretical density ... 8.60 g/cm³
# Spin magnetization ... 4.7 μB per cell
# ΔH_f (0 K) ... 0.05 eV/atom
# V ... 23.70 Å³ per atom
# Density of states at the Fermi level ... 5.87 states/eV/cell
# Uncorrected energy ... -19.8 eV per formula unit

# MgNpInO6 (PBE, optimized geometry)
data_MgNpInO6
_cell_length_a 5.3600
_cell_length_b 5.3600
_cell_length_c 9.2965
_cell_angle_alpha 90.00
_cell_angle_beta 90.00
_cell_angle_gamma 120.00
_symmetry_space_group_name_H-M 'P -3 1 c'
_symmetry_Int_Tables_number 163
_symmetry_space_group_name_Hall '-P 3 2c'
loop_
_atom_site_label
_atom_site_type_symbol
_atom_site_fract_x
_atom_site_fract_y
_atom_site_fract_z
_atom_site_occupancy
Mg1 Mg 0.3333 0.6667 0.2500 1
Np1 Np 0.3333 0.6667 0.7500 1
In1 In 0.0000 0.0000 0.0000 1
O1 O 0.0105 0.3489 0.6338 1
# Theoretical density ... 6.78 g/cm³
# Spin magnetization ... 0.0 μB per cell
# V ... 12.85 Å³ per atom
# Raw formation energy ... -2254 meV/atom
# Uncorrected energy ... -67.3 eV per formula unit

# MgNpIn2O8 (PBE, optimized geometry)
data_MgNpIn2O8
_cell_length_a 4.972
_cell_length_b 6.527
_cell_length_c 4.981
_cell_angle_alpha 90.00
_cell_angle_beta 90.95
_cell_angle_gamma 90.00
_symmetry_space_group_name_H-M 'P 1 2/m 1'
_symmetry_Int_Tables_number 10
loop_
_symmetry_equiv_pos_as_xyz
'x,y,z'
'-x,-y,-z'
'-x,y,-z'
'x,-y,z'
loop_
_atom_site_label
_atom_site_type_symbol
_atom_site_fract_x
_atom_site_fract_y
_atom_site_fract_z
_atom_site_occupancy
Mg1 Mg 0.000 0.000 0.000 1
Np1 Np 0.000 0.500 0.000 1
In1 In 0.500 0.244 0.500 1
O1 O 0.185 0.267 0.819 1
O2 O 0.294 0.000 0.297 1
O3 O 0.298 0.500 0.302 1
# Theoretical density ... 6.36 g/cm³
# Spin magnetization ... 1.0 μB per cell
# V ... 13.47 Å³ per atom
# Density of states at the Fermi level ... 6.22 states/eV/cell
# Raw formation energy ... -1927 meV/atom
# Uncorrected energy ... -82.8 eV per formula unit

# MgNpInRu (PBE, optimized geometry)
data_MgNpInRu
_cell_length_a 6.842
_cell_length_b 6.842
_cell_length_c 6.842
_cell_angle_alpha 90.00
_cell_angle_beta 90.00
_cell_angle_gamma 90.00
_symmetry_space_group_name_H-M 'F -4 3 m'
_symmetry_Int_Tables_number 216
_symmetry_space_group_name_Hall 'F -4 2 3'
loop_
_atom_site_label
_atom_site_type_symbol
_atom_site_fract_x
_atom_site_fract_y
_atom_site_fract_z
_atom_site_occupancy
Mg1 Mg 0.000 0.000 0.000 1
Np1 Np 0.250 0.250 0.750 1
In1 In 0.250 0.250 0.250 1
Ru1 Ru 0.000 0.000 0.500 1
# Theoretical density ... 9.90 g/cm³
# Spin magnetization ... 16.2 μB per cell
# ΔH_f (0 K) ... 0.21 eV/atom
# V ... 20.02 Å³ per atom
# Density of states at the Fermi level ... 51.43 states/eV/cell
# Uncorrected energy ... -25.7 eV per formula unit

# MgNpTlIn (PBE, optimized geometry)
data_MgNpTlIn
_cell_length_a 7.417
_cell_length_b 7.417
_cell_length_c 7.417
_cell_angle_alpha 90.00
_cell_angle_beta 90.00
_cell_angle_gamma 90.00
_symmetry_space_group_name_H-M 'F -4 3 m'
_symmetry_Int_Tables_number 216
_symmetry_space_group_name_Hall 'F -4 2 3'
loop_
_atom_site_label
_atom_site_type_symbol
_atom_site_fract_x
_atom_site_fract_y
_atom_site_fract_z
_atom_site_occupancy
Mg1 Mg 0.000 0.000 0.000 1
Np1 Np 0.000 0.000 0.500 1
Tl1 Tl 0.250 0.250 0.250 1
In1 In 0.250 0.250 0.750 1
# Theoretical density ... 9.45 g/cm³
# Spin magnetization ... 17.8 μB per cell
# ΔH_f (0 K) ... 0.15 eV/atom
# V ... 25.50 Å³ per atom
# Density of states at the Fermi level ... 36.31 states/eV/cell
# Uncorrected energy ... -19.0 eV per formula unit

# MgInO (PBE, optimized geometry)
data_MgInO
_cell_length_a 14.071
_cell_length_b 5.648
_cell_length_c 2.914
_cell_angle_alpha 90.00
_cell_angle_beta 100.84
_cell_angle_gamma 90.00
_symmetry_space_group_name_H-M 'C 1 m 1'
_symmetry_Int_Tables_number 8
loop_
_symmetry_equiv_pos_as_xyz
'x,y,z'
'x,-y,z'
'x+1/2,y+1/2,z'
'x+1/2,-y+1/2,z'
loop_
_atom_site_label
_atom_site_type_symbol
_atom_site_fract_x
_atom_site_fract_y
_atom_site_fract_z
_atom_site_occupancy
Mg1 Mg 0.000 0.245 0.000 1
In1 In 0.224 0.500 0.730 1
In2 In 0.296 0.000 0.317 1
O1 O 0.009 0.000 0.508 1
O2 O 0.474 0.000 0.477 1
# Theoretical density ... 4.53 g/cm³
# Spin magnetization ... 0.0 μB per cell
# V ... 18.96 Å³ per atom
# Density of states at the Fermi level ... 2.15 states/eV/cell
# Raw formation energy ... -1443 meV/atom
# Uncorrected energy ... -13.6 eV per formula unit
# Polymorph energy (0 for the lowest one) ... 0.1483 eV/atom

# MgInO (PBE, optimized geometry)
data_MgInO
_cell_length_a 2.903
_cell_length_b 5.673
_cell_length_c 7.152
_cell_angle_alpha 90.00
_cell_angle_beta 100.02
_cell_angle_gamma 90.00
_symmetry_space_group_name_H-M 'P 1 21/m 1'
_symmetry_Int_Tables_number 11
loop_
_symmetry_equiv_pos_as_xyz
'x,y,z'
'-x,-y,-z'
'-x,y+1/2,-z'
'x,-y+1/2,z'
loop_
_atom_site_label
_atom_site_type_symbol
_atom_site_fract_x
_atom_site_fract_y
_atom_site_fract_z
_atom_site_occupancy
Mg1 Mg 0.000 0.000 0.000 1
In1 In 0.310 0.250 0.575 1
O1 O 0.493 0.250 0.984 1
# Theoretical density ... 4.44 g/cm³
# Spin magnetization ... 0.0 μB per cell
# V ... 19.33 Å³ per atom
# Density of states at the Fermi level ... 1.26 states/eV/cell
# Raw formation energy ... -1438 meV/atom
# Uncorrected energy ... -13.6 eV per formula unit
# Polymorph energy (0 for the lowest one) ... 0.1527 eV/atom